1.
Entry from OQMD: a relaxed structure of TaGaFeHg (GGA-PBE).

```
TaGaFeHg
1.0
0.000 3.210 3.210
3.210 0.000 3.210
3.210 3.210 0.000
Fe Ga Hg Ta
1 1 1 1
Cartesian
4.815 4.815 4.815
0.000 0.000 0.000
3.210 3.210 3.210
1.605 1.605 1.605
```

Values from the calculation:
SG: F-43m (216)
Volume in Å³/cell: 66.2



2.
Entry from OQMD: a relaxed structure of TaGaFeHg (GGA-PBE).

```
TaGaFeHg
1.0
0.000 3.207 3.207
3.207 0.000 3.207
3.207 3.207 0.000
Fe Ga Hg Ta
1 1 1 1
Cartesian
4.811 4.811 4.811
0.000 0.000 0.000
1.604 1.604 1.604
3.207 3.207 3.207
```

Values from the calculation:
SG: F-43m (216)
Volume in Å³/cell: 66.0



Which one sits at the bottom of the stability order? 2 does.